Computed, not measured: a geometry-optimized CaScBr2 structure at the GGA-PBE level of DFT.

Cell and atoms, written as POSCAR:
```
CaScBr2
1.0
6.7927 0.0507 -0.0059
3.8794 5.5761 0.0059
-4.7828 -3.8628 2.8891
Br Sc Ca
2 1 1
direct
0.0375 0.0375 0.0000
0.7289 0.2289 0.5000
0.2377 0.7377 0.5000
0.4958 0.4958 0.0000
```

Calculated values
The value obtained for the formation energy without anion corrections is -0.8723 eV per atom. For the total energy, the calculation gives -3.7920 eV/atom. The relative energy among the computed polymorphs comes out at 0.262 eV/atom. As for the density of states at the Fermi level: 0.924 states/eV per atom. The calculation puts the magnetization at 0.80 μB/f.u.